1.
# Sc2CoTcH

A geometry-optimized Sc2CoTcH structure (PBE, Alexandria).

- theoretical density (g/cm³) = 5.99
- total DFT energy (no corrections) (eV for the cell shown) = -34.755
- N(E_F) (states/eV/atom) = 0.824
- energy relative to the lowest polymorph listed for this composition (meV per atom) = 38.3

a = 4.5000 Å, b = 4.5000 Å, c = 3.3908 Å
α = 90.00°, β = 90.00°, γ = 90.00°
With the nearest neighbours (Å) after each atom.
Fractional positions:
Sc (0.0000, 0.5000, 0.0000)  2 H 2.25
Sc (0.5000, 0.0000, 0.0000)  2 H 2.25
Co (0.0000, 0.0000, 0.5000)  8 Sc 2.82
Tc (0.5000, 0.5000, 0.5000)  2 H 1.70
H (0.5000, 0.5000, 0.0000)  2 Tc 1.70

2.
# LiHgPb2

A geometry-optimized LiHgPb2 structure (PBE, Alexandria).

- theoretical density (g/cm³) = 9.57
- total DFT energy (no corrections) (eV for the cell shown) = -9.893
- formation energy (eV per atom) = -0.07
- N(E_F) (states/eV/atom) = 0.383

a = 3.3892 Å, b = 5.1556 Å, c = 6.2090 Å
α = 90.00°, β = 96.13°, γ = 90.00°
With the nearest neighbours (Å) after each atom.
Fractional positions:
Li (0.0000, 0.0000, 0.0000)  4 Pb 3.18, 2 Hg 3.37, 2 Li 3.39
Hg (0.5000, 0.0000, 0.5000)  4 Pb 3.16, 2 Li 3.37, 2 Hg 3.39
Pb (0.2715, 0.5000, 0.7542)  2 Hg 3.16, 2 Li 3.18, 4 Pb 3.27-3.48
Pb (0.7285, 0.5000, 0.2458)  2 Hg 3.16, 2 Li 3.18, 4 Pb 3.27-3.48

3.
# Ga3O4

A geometry-optimized Ga3O4 structure (PBE, Alexandria).

- theoretical density (g/cm³) = 5.58
- energy relative to the elements, uncorrected (eV per atom) = -1.479
- total DFT energy (no corrections) (eV for the cell shown) = -78.538
- N(E_F) (states/eV/atom) = 0.232

a = 11.4795 Å, b = 3.0242 Å, c = 5.1369 Å
α = 90.00°, β = 114.34°, γ = 90.00°
With the nearest neighbours (Å) after each atom.
Fractional positions:
Ga (0.0000, 0.0000, 0.0000)  6 O 2.13-2.36
Ga (0.2205, 0.5000, 0.7248)  6 O 1.94-2.16
Ga (0.2795, 0.0000, 0.2752)  6 O 1.94-2.16
Ga (0.5000, 0.5000, 0.0000)  6 O 2.13-2.36
Ga (0.7205, 0.0000, 0.7248)  6 O 1.94-2.16
Ga (0.7795, 0.5000, 0.2752)  6 O 1.94-2.16
O (0.1437, 0.0000, 0.8399)  4 Ga 1.96-2.13
O (0.1519, 0.5000, 0.3100)  3 Ga 1.94-2.16
O (0.3481, 0.0000, 0.6900)  3 Ga 1.94-2.16
O (0.3563, 0.5000, 0.1601)  4 Ga 1.96-2.13
O (0.6437, 0.5000, 0.8399)  4 Ga 1.96-2.13
O (0.6519, 0.0000, 0.3100)  3 Ga 1.94-2.16
O (0.8481, 0.5000, 0.6900)  3 Ga 1.94-2.16
O (0.8563, 0.0000, 0.1601)  4 Ga 1.96-2.13

4.
# Cu2Ni2P

A geometry-optimized Cu2Ni2P structure (PBE, Alexandria).

- theoretical density (g/cm³) = 7.49
- total DFT energy (no corrections) (eV for the cell shown) = -48.555
- formation energy (eV per atom) = 0.18
- N(E_F) (states/eV/atom) = 0.750

a = 5.8462 Å, b = 5.8462 Å, c = 3.5739 Å
α = 90.00°, β = 90.00°, γ = 90.00°
With the nearest neighbours (Å) after each atom.
Fractional positions:
Cu (0.1437, 0.3563, 0.0000)  2 P 2.25, 1 Cu 2.38, 6 Ni 2.42-2.51
Cu (0.3563, 0.8563, 0.0000)  2 P 2.25, 1 Cu 2.38, 6 Ni 2.42-2.51
Cu (0.6437, 0.1437, 0.0000)  2 P 2.25, 1 Cu 2.38, 6 Ni 2.42-2.51
Cu (0.8563, 0.6437, 0.0000)  2 P 2.25, 1 Cu 2.38, 6 Ni 2.42-2.51
Ni (0.1584, 0.6584, 0.5000)  6 Cu 2.42-2.51, 1 Ni 2.62
Ni (0.3416, 0.1584, 0.5000)  6 Cu 2.42-2.51, 1 Ni 2.62
Ni (0.6584, 0.8416, 0.5000)  6 Cu 2.42-2.51, 1 Ni 2.62
Ni (0.8416, 0.3416, 0.5000)  6 Cu 2.42-2.51, 1 Ni 2.62
P (0.0000, 0.0000, 0.0000)  4 Cu 2.25
P (0.5000, 0.5000, 0.0000)  4 Cu 2.25

5.
# Ho4Cd3Ag

A geometry-optimized Ho4Cd3Ag structure (PBE, Alexandria).

- theoretical density (g/cm³) = 8.89
- total DFT energy (no corrections) (eV for the cell shown) = -25.942
- formation energy (eV per atom) = -0.25
- N(E_F) (states/eV/atom) = 1.056
- energy relative to the lowest polymorph listed for this composition (meV per atom) = 64.4

a = 3.5775 Å, b = 4.8875 Å, c = 11.8039 Å
α = 90.00°, β = 90.00°, γ = 90.00°
With the nearest neighbours (Å) after each atom.
Fractional positions:
Ho (0.0000, 0.0000, 0.0000)  5 Cd 3.17-3.23, 2 Ag 3.22
Ho (0.0000, 0.5000, 0.3055)  4 Ag 3.17, 3 Cd 3.20
Ho (0.5000, 0.0000, 0.4876)  1 Ag 3.08, 6 Cd 3.21-3.34
Ho (0.5000, 0.5000, 0.8140)  7 Cd 3.14-3.32
Cd (0.0000, 0.0000, 0.7265)  2 Cd 3.01, 7 Ho 3.20-3.34
Cd (0.0000, 0.5000, 0.5770)  2 Cd 3.01, 7 Ho 3.20-3.32
Cd (0.5000, 0.5000, 0.0803)  2 Ag 2.99, 7 Ho 3.14-3.20
Ag (0.5000, 0.0000, 0.2269)  2 Cd 2.99, 7 Ho 3.08-3.22

6.
# Dy3NiPd

A geometry-optimized Dy3NiPd structure (PBE, Alexandria).

- theoretical density (g/cm³) = 9.19
- total DFT energy (no corrections) (eV for the cell shown) = -54.539
- formation energy (eV per atom) = -0.50
- N(E_F) (states/eV/atom) = 0.853
- energy relative to the lowest polymorph listed for this composition (meV per atom) = 20.8

a = 5.9704 Å, b = 5.9704 Å, c = 7.9126 Å
α = 109.43°, β = 109.43°, γ = 65.64°
With the nearest neighbours (Å) after each atom.
Fractional positions:
Dy (0.0075, 0.0075, 0.2311)  2 Ni 2.70, 2 Pd 2.84
Dy (0.3026, 0.3026, 0.6604)  2 Ni 2.90, 2 Pd 3.08
Dy (0.3162, 0.3162, 0.1487)  2 Ni 2.83, 2 Pd 3.00
Dy (0.6838, 0.6838, 0.8513)  2 Ni 2.83, 2 Pd 3.00
Dy (0.6974, 0.6974, 0.3396)  2 Ni 2.90, 2 Pd 3.08
Dy (0.9925, 0.9925, 0.7689)  2 Ni 2.70, 2 Pd 2.84
Ni (0.3110, 0.6890, 0.0000)  1 Ni 2.45, 2 Dy 2.70
Ni (0.6890, 0.3110, 0.0000)  1 Ni 2.45, 2 Dy 2.70
Pd (0.2843, 0.7157, 0.5000)  1 Pd 2.79, 6 Dy 2.84-3.08
Pd (0.7157, 0.2843, 0.5000)  1 Pd 2.79, 6 Dy 2.84-3.08

7.
# Y2MnPb

A geometry-optimized Y2MnPb structure (PBE, Alexandria).

- theoretical density (g/cm³) = 7.17
- total DFT energy (no corrections) (eV for the cell shown) = -26.230
- formation energy (eV per atom) = -0.11
- N(E_F) (states/eV/atom) = 1.320

a = 4.9018 Å, b = 4.2336 Å, c = 4.9126 Å
α = 90.00°, β = 90.13°, γ = 90.00°
With the nearest neighbours (Å) after each atom.
Fractional positions:
Y (0.0000, 0.0000, 0.0000)  4 Pb 3.24, 4 Mn 3.24, 4 Y 3.47
Y (0.5000, 0.0000, 0.5000)  4 Mn 3.24, 4 Pb 3.24, 4 Y 3.47
Mn (0.0000, 0.5000, 0.5000)  8 Y 3.24, 4 Pb 3.47
Pb (0.5000, 0.5000, 0.0000)  8 Y 3.24, 4 Mn 3.47

8.
# AcPr2PuN4

A geometry-optimized AcPr2PuN4 structure (PBE, Alexandria).

- theoretical density (g/cm³) = 9.45
- energy relative to the elements, uncorrected (eV per atom) = -1.156
- total DFT energy (no corrections) (eV for the cell shown) = -70.547
- N(E_F) (states/eV/atom) = 1.076

a = 6.3645 Å, b = 3.6891 Å, c = 6.4109 Å
α = 90.00°, β = 109.26°, γ = 90.00°
With the nearest neighbours (Å) after each atom.
Fractional positions:
Ac (0.0000, 0.0000, 0.0000)  6 N 2.65-2.66
Pr (0.5000, 0.0000, 0.5000)  6 N 2.56-2.57
Pr (0.5000, 0.5000, 0.0000)  6 N 2.71-2.78
Pu (0.0000, 0.5000, 0.5000)  6 N 2.43-2.52
N (0.2362, 0.0000, 0.7279)  2 Pu 2.52, 3 Pr 2.56-2.71, 1 Ac 2.65
N (0.2421, 0.5000, 0.2748)  1 Pu 2.43, 2 Pr 2.57, 2 Ac 2.66
N (0.7579, 0.5000, 0.7252)  1 Pu 2.43, 2 Pr 2.57, 2 Ac 2.66
N (0.7638, 0.0000, 0.2721)  2 Pu 2.52, 3 Pr 2.56-2.71, 1 Ac 2.65

9.
# YMnP2Cl

A geometry-optimized YMnP2Cl structure (PBE, Alexandria).

- theoretical density (g/cm³) = 2.77
- energy relative to the elements, uncorrected (eV per atom) = 0.230
- total DFT energy (no corrections) (eV for the cell shown) = -27.151
- N(E_F) (states/eV/atom) = 0.851
- energy relative to the lowest polymorph listed for this composition (meV per atom) = 688.8

a = 5.3226 Å, b = 5.3226 Å, c = 5.0987 Å
α = 90.00°, β = 90.00°, γ = 90.00°
With the nearest neighbours (Å) after each atom.
Fractional positions:
Y (0.0000, 0.0000, 0.0000)  2 Cl 2.55, 4 P 2.66
Mn (0.5000, 0.5000, 0.5000)  8 P 3.69, 4 Cl 3.76
P (0.0000, 0.5000, 0.0000)  2 Y 2.66
P (0.5000, 0.0000, 0.0000)  2 Y 2.66
Cl (0.0000, 0.0000, 0.5000)  2 Y 2.55

10.
# CaFeP2

A geometry-optimized CaFeP2 structure (PBE, Alexandria).

- theoretical density (g/cm³) = 3.47
- total DFT energy (no corrections) (eV for the cell shown) = -23.044
- formation energy (eV per atom) = -0.44
- N(E_F) (states/eV/atom) = 0.513
- energy relative to the lowest polymorph listed for this composition (meV per atom) = 200.2

a = 4.1571 Å, b = 4.2898 Å, c = 4.2400 Å
α = 90.00°, β = 90.00°, γ = 90.00°
With the nearest neighbours (Å) after each atom.
Fractional positions:
Ca (0.0000, 0.0000, 0.0000)  8 P 2.99-3.08, 4 Fe 3.28
Fe (0.5000, 0.5000, 0.3178)  4 P 2.08-2.21
P (0.0000, 0.5000, 0.4927)  2 Fe 2.21
P (0.5000, 0.5000, 0.8263)  2 Fe 2.08-2.16

11.
# ZrPb

A geometry-optimized ZrPb structure (PBE, Alexandria).

- theoretical density (g/cm³) = 9.11
- total DFT energy (no corrections) (eV for the cell shown) = -24.495
- formation energy (eV per atom) = 0.00
- N(E_F) (states/eV/atom) = 0.461

a = 4.1762 Å, b = 4.1762 Å, c = 7.1998 Å
α = 90.00°, β = 90.00°, γ = 120.00°
With the nearest neighbours (Å) after each atom.
Fractional positions:
Zr (0.0000, 0.0000, 0.0000)  6 Pb 3.01
Zr (0.0000, 0.0000, 0.5000)  6 Pb 3.01
Pb (0.3333, 0.6667, 0.2500)  6 Zr 3.01
Pb (0.6667, 0.3333, 0.7500)  6 Zr 3.01

12.
# BaNi

A geometry-optimized BaNi structure (PBE, Alexandria).

- theoretical density (g/cm³) = 3.30
- total DFT energy (no corrections) (eV for the cell shown) = -38.029
- formation energy (eV per atom) = 0.68

a = 8.3972 Å, b = 8.3972 Å, c = 8.3972 Å
α = 90.00°, β = 90.00°, γ = 90.00°
With the nearest neighbours (Å) after each atom.
Fractional positions:
Ba (0.0000, 0.2500, 0.5000)  4 Ni 2.97
Ba (0.0000, 0.7500, 0.5000)  4 Ni 2.97
Ba (0.2500, 0.5000, 0.0000)  4 Ni 2.97
Ba (0.5000, 0.0000, 0.2500)  4 Ni 2.97
Ba (0.5000, 0.0000, 0.7500)  4 Ni 2.97
Ba (0.7500, 0.5000, 0.0000)  4 Ni 2.97
Ni (0.0000, 0.5000, 0.2500)  4 Ba 2.97
Ni (0.0000, 0.5000, 0.7500)  4 Ba 2.97
Ni (0.2500, 0.0000, 0.5000)  4 Ba 2.97
Ni (0.5000, 0.2500, 0.0000)  4 Ba 2.97
Ni (0.5000, 0.7500, 0.0000)  4 Ba 2.97
Ni (0.7500, 0.0000, 0.5000)  4 Ba 2.97